# 1
Density functional theory data (PBE-GGA) for TbGa12Ni6 after structural relaxation.

Properties
Symmetry: No. 166
Crystal system: trigonal
Energy relative to the elements: -0.32 eV per atom

Unit cell a=6.9236 b=6.9236 c=6.9236 alpha=104.33 beta=104.33 gamma=104.33
Last column: nearest neighbours and their distance in Å.
Positions (direct):
Ni (0.7161, 0.2902, 0.7161)  7 Ga 2.40-2.58
Ni (0.2839, 0.7098, 0.2839)  7 Ga 2.40-2.58
Ni (0.7161, 0.7161, 0.2902)  7 Ga 2.40-2.58
Ni (0.2902, 0.7161, 0.7161)  7 Ga 2.40-2.58
Ni (0.7098, 0.2839, 0.2839)  7 Ga 2.40-2.58
Ni (0.2839, 0.2839, 0.7098)  7 Ga 2.40-2.58
Ga (0.1491, 0.4047, 0.4047)  3 Ni 2.42-2.51, 2 Ga 2.69
Ga (0.5000, 0.8855, 0.1145)  4 Ni 2.40-2.58, 1 Ga 2.51
Ga (0.5953, 0.8509, 0.5953)  3 Ni 2.42-2.51, 2 Ga 2.69
Ga (0.1145, 0.5000, 0.8855)  4 Ni 2.40-2.58, 1 Ga 2.51
Ga (0.5000, 0.1145, 0.8855)  4 Ni 2.40-2.58, 1 Ga 2.51
Ga (0.1145, 0.8855, 0.5000)  4 Ni 2.40-2.58, 1 Ga 2.51
Ga (0.4047, 0.4047, 0.1491)  3 Ni 2.42-2.51, 2 Ga 2.69
Ga (0.8509, 0.5953, 0.5953)  3 Ni 2.42-2.51, 2 Ga 2.69
Ga (0.8855, 0.1145, 0.5000)  4 Ni 2.40-2.58, 1 Ga 2.51
Ga (0.4047, 0.1491, 0.4047)  3 Ni 2.42-2.51, 2 Ga 2.69
Ga (0.5953, 0.5953, 0.8509)  3 Ni 2.42-2.51, 2 Ga 2.69
Ga (0.8855, 0.5000, 0.1145)  4 Ni 2.40-2.58, 1 Ga 2.51
Tb (0.0000, 0.0000, 0.0000)  6 Ga 3.17

# 2
Density functional theory data (PBE-GGA) for BeTl2W after structural relaxation.

Properties
E above lowest polymorph: 0.295 eV per atom
Symmetry: No. 166
Crystal system: trigonal
Energy relative to the elements: 0.97 eV per atom

Unit cell a=9.0420 b=9.0420 c=9.0420 alpha=19.86 beta=19.86 gamma=19.86
Last column: nearest neighbours and their distance in Å.
Positions (direct):
Be (0.7500, 0.7500, 0.7500)  6 Tl 2.70
Tl (0.0077, 0.0077, 0.0077)  3 Be 2.70, 3 W 3.02
Tl (0.4923, 0.4923, 0.4923)  3 Be 2.70, 3 W 3.02
W (0.2500, 0.2500, 0.2500)  6 Tl 3.02, 6 W 3.12

# 3
Density functional theory data (PBE-GGA) for Pr3Pd2 after structural relaxation.

Properties
E above lowest polymorph: 0.087 eV per atom
Symmetry: No. 12
Crystal system: monoclinic
Energy relative to the elements: -0.52 eV per atom

Unit cell a=4.3729 b=9.5964 c=11.2024 alpha=98.40 beta=90.00 gamma=103.17
Last column: nearest neighbours and their distance in Å.
Positions (direct):
Pr (0.4630, 0.9261, 0.3395)  4 Pd 2.90-3.22
Pr (0.8287, 0.6575, 0.0542)  4 Pd 2.88-2.98
Pr (0.7921, 0.5842, 0.3881)  4 Pd 3.00-3.29
Pr (0.5370, 0.0739, 0.6605)  4 Pd 2.90-3.22
Pr (0.2079, 0.4158, 0.6119)  4 Pd 3.00-3.29
Pr (0.1713, 0.3425, 0.9458)  4 Pd 2.88-2.98
Pr (0.1291, 0.2581, 0.2760)  5 Pd 2.91-3.01
Pr (0.8709, 0.7419, 0.7240)  5 Pd 2.91-3.01
Pr (0.5000, 0.0000, 0.0000)  4 Pd 3.00
Pd (0.9764, 0.9529, 0.1736)  6 Pr 2.88-3.00
Pd (0.0236, 0.0471, 0.8264)  6 Pr 2.88-3.00
Pd (0.6832, 0.3663, 0.1285)  6 Pr 2.96-3.29
Pd (0.6303, 0.2605, 0.4607)  7 Pr 3.00-3.25
Pd (0.3697, 0.7395, 0.5393)  7 Pr 3.00-3.25
Pd (0.3168, 0.6337, 0.8715)  6 Pr 2.96-3.29

# 4
Density functional theory data (PBE-GGA) for Ca2TlAu4 after structural relaxation.

Properties
Symmetry: No. 69
Crystal system: orthorhombic
Energy relative to the elements: -0.29 eV per atom

Unit cell a=5.6212 b=5.6212 c=8.2840 alpha=99.50 beta=99.55 gamma=120.82
Last column: nearest neighbours and their distance in Å.
Positions (direct):
Ca (0.3838, 0.3839, 0.7677)  3 Au 2.92-3.05
Ca (0.6162, 0.6161, 0.2323)  3 Au 2.92-3.05
Au (0.1966, 0.1966, 0.3932)  3 Ca 2.92-3.05, 1 Tl 3.07, 2 Au 3.24
Au (0.5000, 0.0000, 0.0000)  2 Au 2.78, 2 Tl 2.81
Au (0.0000, 0.5000, 0.0000)  2 Au 2.78, 2 Tl 2.81
Au (0.8034, 0.8034, 0.6068)  3 Ca 2.92-3.05, 1 Tl 3.07, 2 Au 3.24
Tl (0.0000, 0.0000, 0.0000)  6 Au 2.81-3.07

# 5
Density functional theory data (PBE-GGA) for Cd2GaAu6 after structural relaxation.

Properties
E above lowest polymorph: 0.009 eV per atom
Symmetry: No. 136
Crystal system: tetragonal
Energy relative to the elements: -0.11 eV per atom

Unit cell a=4.1519 b=8.9493 c=8.9555 alpha=90.00 beta=90.00 gamma=90.00
Last column: nearest neighbours and their distance in Å.
Positions (direct):
Cd (0.0000, 0.6867, 0.1874)  10 Au 2.90-3.00, 2 Ga 3.15
Cd (0.0000, 0.3133, 0.8126)  10 Au 2.90-3.00, 2 Ga 3.15
Cd (0.5000, 0.8133, 0.6874)  10 Au 2.90-3.00, 2 Ga 3.15
Cd (0.5000, 0.1867, 0.3126)  10 Au 2.90-3.00, 2 Ga 3.15
Au (0.0000, 0.6691, 0.5110)  3 Cd 2.90-2.91, 1 Ga 2.96, 8 Au 2.98-3.12
Au (0.5000, 0.1421, 0.6417)  2 Ga 2.75, 4 Cd 2.97-3.00, 4 Au 3.01
Au (0.5000, 0.1691, 0.9890)  3 Cd 2.90-2.91, 1 Ga 2.96, 8 Au 2.98-3.12
Au (0.5000, 0.8579, 0.3583)  2 Ga 2.75, 4 Cd 2.97-3.00, 4 Au 3.01
Au (0.0000, 0.9895, 0.8313)  3 Cd 2.90-2.91, 1 Ga 2.97, 8 Au 2.98-3.12
Au (0.0000, 0.0105, 0.1687)  3 Cd 2.90-2.91, 1 Ga 2.97, 8 Au 2.98-3.12
Au (0.5000, 0.5105, 0.3313)  3 Cd 2.90-2.91, 1 Ga 2.97, 8 Au 2.98-3.12
Au (0.0000, 0.3579, 0.1417)  2 Ga 2.75, 4 Cd 2.97-3.00, 4 Au 3.01
Au (0.5000, 0.8309, 0.0110)  3 Cd 2.90-2.91, 1 Ga 2.96, 8 Au 2.98-3.12
Au (0.5000, 0.4895, 0.6687)  3 Cd 2.90-2.91, 1 Ga 2.97, 8 Au 2.98-3.12
Au (0.0000, 0.3309, 0.4890)  3 Cd 2.90-2.91, 1 Ga 2.96, 8 Au 2.98-3.12
Au (0.0000, 0.6421, 0.8583)  2 Ga 2.75, 4 Cd 2.97-3.00, 4 Au 3.01
Ga (0.0000, 0.0000, 0.5000)  8 Au 2.75-2.97
Ga (0.5000, 0.5000, 0.0000)  8 Au 2.75-2.97

# 6
Density functional theory data (PBE-GGA) for Nd5Ho2In5 after structural relaxation.

Properties
Symmetry: No. 12
Crystal system: monoclinic
Energy relative to the elements: -0.31 eV per atom

Unit cell a=5.2761 b=6.4429 c=12.2100 alpha=107.90 beta=90.00 gamma=114.17
Last column: nearest neighbours and their distance in Å.
Positions (direct):
Ho (0.0701, 0.1402, 0.7576)  4 In 3.17-3.33, 2 Nd 3.52
Ho (0.9299, 0.8598, 0.2424)  4 In 3.17-3.33, 2 Nd 3.52
In (0.7257, 0.4513, 0.7673)  2 Ho 3.19, 4 Nd 3.20-3.44, 2 In 3.38-3.51
In (0.0000, 0.0000, 0.0000)  4 Nd 3.21, 2 Ho 3.33, 2 In 3.51
In (0.2743, 0.5487, 0.2327)  2 Ho 3.19, 4 Nd 3.20-3.44, 2 In 3.38-3.51
In (0.1721, 0.3442, 0.4602)  3 In 3.17-3.38, 1 Ho 3.17, 5 Nd 3.27-3.46
In (0.8279, 0.6558, 0.5398)  3 In 3.17-3.38, 1 Ho 3.17, 5 Nd 3.27-3.46
Nd (0.3442, 0.6884, 0.0008)  3 In 3.20-3.21, 3 Nd 3.43-3.44, 1 Ho 3.57
Nd (0.6365, 0.2731, 0.2733)  5 In 3.22-3.42, 1 Nd 3.43, 3 Ho 3.52-3.59
Nd (0.3635, 0.7269, 0.7267)  5 In 3.22-3.42, 1 Nd 3.43, 3 Ho 3.52-3.59
Nd (0.6558, 0.3116, 0.9992)  3 In 3.20-3.21, 3 Nd 3.43-3.44, 1 Ho 3.57
Nd (0.5000, 0.0000, 0.5000)  8 In 3.44-3.72, 2 Nd 3.64